The following is a DFT calculation (PBE+U) of a relaxed structure of NiAg3Br2F6.

Results
Raw total energy, eV per atom: -3.2147
DOS at the Fermi energy, states/eV per cell: 10.88
SG: No. 12
Volume, Å³/cell: 207

Cell lengths 5.4618, 6.4476, 6.7474 Å; angles 118.54, 84.18, 90.00 degrees
Site moments in Bohr magnetons follow the coordinates.
Fractional positions:
Ni (0.5000, 0.0000, 0.0000)  1.81
Ag (0.0000, 0.5000, 0.0000)  -0.05
Ag (0.5000, 0.5000, 0.5000)  -0.17
Ag (0.5000, 0.0000, 0.5000)  -0.17
Br (0.1667, 0.6955, 0.3910)  -0.11
Br (0.8333, 0.3045, 0.6090)  -0.11
F (0.6912, 0.3151, 0.1521)  -0.04
F (0.3088, 0.6849, 0.8479)  -0.04
F (0.7147, 0.8582, 0.7164)  0.01
F (0.2853, 0.1418, 0.2836)  0.01
F (0.3088, 0.1631, 0.8479)  -0.04
F (0.6912, 0.8369, 0.1521)  -0.04